# MnMoF3

MnMoF3 after structural relaxation (PBE with a Hubbard U, the Alexandria database).

Output
total energy: -28.610 eV per cell
energy relative to the lowest polymorph listed for this composition: 0.0 kJ/mol of formula units

Unit cell a=4.2504 b=4.2504 c=4.2504 alpha=90.00 beta=90.00 gamma=90.00
Closest atoms and distances in Å follow each position.
Sites, in units of the cell vectors:
Mn (0.0000, 0.0000, 0.0000)  6 F 2.13
Mo (0.5000, 0.5000, 0.5000)  12 F 3.01
F (0.0000, 0.0000, 0.5000)  2 Mn 2.13
F (0.0000, 0.5000, 0.0000)  2 Mn 2.13
F (0.5000, 0.0000, 0.0000)  2 Mn 2.13